Record 1
The following is a DFT calculation (PBE) of TcMo2Ir after structural relaxation. Values from VASP.

Cell and atoms, written as Quantum ESPRESSO input:
```
&SYSTEM
  ibrav = 0, nat = 4, ntyp = 3
/
ATOMIC_SPECIES
Mo 95.94 Mo.upf
Tc 98.00 Tc.upf
Ir 192.22 Ir.upf
CELL_PARAMETERS angstrom
2.780 0.000 0.000
0.000 3.899 0.000
0.000 0.000 5.600
ATOMIC_POSITIONS angstrom
Mo 0.000 0.000 0.014
Mo 0.000 0.000 2.786
Tc 1.390 1.950 1.400
Ir 1.390 1.950 4.200
```

Output
Distance to the lowest polymorph of the same formula   37 meV per atom
Space-group type   Pmmm, No. 47
Volume   15.2 Å³/atom
ΔE_f   -0.197 eV per formula unit
M_tot   0.00 μB/f.u.
ρ   13.19 g/cm³

=====

Record 2
The following is a DFT calculation (PBE) of Pr4CdHg2Au after structural relaxation. Values from VASP.

Cell and atoms, written as Quantum ESPRESSO input:
```
&SYSTEM
  ibrav = 0, nat = 8, ntyp = 4
/
ATOMIC_SPECIES
Hg 200.59 Hg.upf
Pr 140.91 Pr.upf
Au 196.97 Au.upf
Cd 112.41 Cd.upf
CELL_PARAMETERS angstrom
5.427 0.000 0.000
2.714 4.700 0.000
2.714 1.567 8.850
ATOMIC_POSITIONS angstrom
Hg 2.714 1.567 2.005
Pr 2.714 1.567 5.414
Au 5.427 3.133 4.425
Pr 5.427 3.133 1.261
Pr 8.141 4.700 3.436
Pr 5.427 3.133 7.590
Hg 8.141 4.700 6.845
Cd 0.000 0.000 0.000
```

Output
Space-group type   R-3m, No. 166
Volume   28.2 Å³/atom
ΔE_f   -4.024 eV per formula unit
M_tot   0.69 μB/f.u.
ρ   9.37 g/cm³

=====

Record 3
The following is a DFT calculation (PBE) of ZrCo3S after structural relaxation. Values from VASP.

Cell and atoms, written as Quantum ESPRESSO input:
```
&SYSTEM
  ibrav = 0, nat = 5, ntyp = 3
/
ATOMIC_SPECIES
Co 58.93 Co.upf
Zr 91.22 Zr.upf
S 32.06 S.upf
CELL_PARAMETERS angstrom
4.610 0.000 0.000
0.000 4.610 0.000
0.000 0.000 4.610
ATOMIC_POSITIONS angstrom
Co 0.000 2.305 0.000
Co 2.305 0.000 0.000
Zr 0.000 0.000 0.000
Co 0.000 0.000 2.305
S 2.305 2.305 2.305
```

Output
Distance to the lowest polymorph of the same formula   1693 meV per atom
Space-group type   Pm-3m, No. 221
Volume   19.6 Å³/atom
Formation energy (no corrections)   1.63 eV per atom
M_tot   2.90 μB/f.u.
ρ   5.09 g/cm³

=====

Record 4
The following is a DFT calculation (PBE) of Mg5PdAu2 after structural relaxation. Values from VASP.

Cell and atoms, written as Quantum ESPRESSO input:
```
&SYSTEM
  ibrav = 0, nat = 16, ntyp = 3
/
ATOMIC_SPECIES
Mg 24.30 Mg.upf
Au 196.97 Au.upf
Pd 106.42 Pd.upf
CELL_PARAMETERS angstrom
-1.213 1.106 -4.196
-5.597 -0.418 1.508
-0.036 10.858 2.873
ATOMIC_POSITIONS angstrom
Mg -4.961 7.585 3.435
Mg -0.671 2.855 0.947
Au -4.245 7.205 0.708
Mg -3.468 2.266 1.601
Au -2.600 4.342 -0.522
Mg -2.816 5.220 2.191
Mg 0.000 0.000 0.000
Au -5.390 1.689 -0.415
Pd -0.018 5.429 1.437
Mg -5.291 4.472 0.290
Mg -2.483 1.576 -1.286
Au -1.455 9.857 0.601
Mg -1.555 7.075 -0.104
Mg -4.363 9.971 1.472
Pd -2.798 -0.209 0.754
Mg -2.164 8.174 2.781
```

Output
Space-group type   Pbam, No. 55
Volume   18.4 Å³/atom
ΔE_f   -4.279 eV per formula unit
M_tot   0.00 μB/f.u.
ρ   7.02 g/cm³

=====

Record 5
The following is a DFT calculation (PBE) of LiNdSm2Te4 after structural relaxation. Values from VASP.

Cell and atoms, written as Quantum ESPRESSO input:
```
&SYSTEM
  ibrav = 0, nat = 8, ntyp = 4
/
ATOMIC_SPECIES
Te 127.60 Te.upf
Li 6.94 Li.upf
Sm 150.36 Sm.upf
Nd 144.24 Nd.upf
CELL_PARAMETERS angstrom
-1.715 -3.020 2.726
3.536 -5.568 -3.945
6.961 -1.222 3.024
ATOMIC_POSITIONS angstrom
Te 3.466 -5.964 -0.853
Li 7.872 -5.516 2.415
Sm 6.961 -1.222 3.024
Sm 2.623 -2.121 2.875
Te 5.317 -3.846 2.658
Nd 5.249 -3.395 -0.460
Te 7.919 -5.062 -0.628
Te 0.865 -4.748 2.433
```

Output
Space-group type   P2/m, No. 10
Volume   30.8 Å³/atom
Formation energy (no corrections)   -1.37 eV per atom
M_tot   0.00 μB/f.u.
ρ   6.49 g/cm³

=====

Record 6
The following is a DFT calculation (PBE) of HfTiHg after structural relaxation. Values from VASP.

Cell and atoms, written as Quantum ESPRESSO input:
```
&SYSTEM
  ibrav = 0, nat = 6, ntyp = 3
/
ATOMIC_SPECIES
Ti 47.87 Ti.upf
Hg 200.59 Hg.upf
Hf 178.49 Hf.upf
CELL_PARAMETERS angstrom
-2.711 1.338 -0.408
-1.305 -2.097 1.789
2.148 7.624 10.483
ATOMIC_POSITIONS angstrom
Ti -0.959 6.889 8.876
Hg -2.386 1.794 1.881
Hg -1.301 1.510 4.916
Ti -0.579 4.036 8.407
Hf 0.085 6.369 11.625
Hf -1.623 4.558 5.656
```

Output
Distance to the lowest polymorph of the same formula   0 meV per atom
Space-group type   P-1, No. 2
Volume   20.4 Å³/atom
ΔE_f   0.037 eV per formula unit
M_tot   0.00 μB/f.u.
ρ   11.60 g/cm³

=====

Copy entry 1 word for word.
The following is a DFT calculation (PBE) of TcMo2Ir after structural relaxation. Values from VASP.

Cell and atoms, written as Quantum ESPRESSO input:
```
&SYSTEM
  ibrav = 0, nat = 4, ntyp = 3
/
ATOMIC_SPECIES
Mo 95.94 Mo.upf
Tc 98.00 Tc.upf
Ir 192.22 Ir.upf
CELL_PARAMETERS angstrom
2.780 0.000 0.000
0.000 3.899 0.000
0.000 0.000 5.600
ATOMIC_POSITIONS angstrom
Mo 0.000 0.000 0.014
Mo 0.000 0.000 2.786
Tc 1.390 1.950 1.400
Ir 1.390 1.950 4.200
```

Output
Distance to the lowest polymorph of the same formula   37 meV per atom
Space-group type   Pmmm, No. 47
Volume   15.2 Å³/atom
ΔE_f   -0.197 eV per formula unit
M_tot   0.00 μB/f.u.
ρ   13.19 g/cm³